(a)
A PBEsol-optimized structure of P2RuIO. Source: Alexandria via LeMat-Bulk, functional SCAN.

Output
Its volume is 124.0 Å³ per cell.

Structure (CIF):
```
data_P2RuIO
_chemical_formula_sum 'P2 Ru1 I1 O1'
_symmetry_space_group_name_H-M 'P 4/m m m'
_symmetry_Int_Tables_number 123
_symmetry_space_group_name_Hall '-P 4 2'
_cell_length_a 5.0798
_cell_length_b 5.0798
_cell_length_c 4.8066
_cell_angle_alpha 90.00
_cell_angle_beta 90.00
_cell_angle_gamma 90.00
loop_
_atom_site_label
_atom_site_fract_x
_atom_site_fract_y
_atom_site_fract_z
P1 0.0000 0.5000 0.0000
Ru1 0.0000 0.0000 0.5000
I1 0.0000 0.0000 0.0000
O1 0.5000 0.5000 0.5000
```

(b)
A PBEsol-optimized structure of P2RuIO. Source: Alexandria via LeMat-Bulk, functional SCAN.

Output
Its volume is 84.9 Å³ per cell.

Structure (CIF):
```
data_P2RuIO
_chemical_formula_sum 'P2 Ru1 I1 O1'
_symmetry_space_group_name_H-M 'P 4/m m m'
_symmetry_Int_Tables_number 123
_symmetry_space_group_name_Hall '-P 4 2'
_cell_length_a 4.7915
_cell_length_b 4.7915
_cell_length_c 3.6993
_cell_angle_alpha 90.00
_cell_angle_beta 90.00
_cell_angle_gamma 90.00
loop_
_atom_site_label
_atom_site_fract_x
_atom_site_fract_y
_atom_site_fract_z
P1 0.0000 0.5000 0.0000
Ru1 0.0000 0.0000 0.0000
I1 0.5000 0.5000 0.5000
O1 0.0000 0.0000 0.5000
```

Which one is most stable, and which one is least stable? (b) is the most stable of them, while (a) is the least stable.

(a)
A PBEsol-optimized structure of TePIO2. Source: Alexandria via LeMat-Bulk, functional SCAN.

Output
Its volume is 89.0 Å³ per cell.

Structure (CIF):
```
data_TePIO2
_chemical_formula_sum 'Te1 P1 I1 O2'
_symmetry_space_group_name_H-M 'P 4/m m m'
_symmetry_Int_Tables_number 123
_symmetry_space_group_name_Hall '-P 4 2'
_cell_length_a 3.9166
_cell_length_b 3.9166
_cell_length_c 5.8012
_cell_angle_alpha 90.00
_cell_angle_beta 90.00
_cell_angle_gamma 90.00
loop_
_atom_site_label
_atom_site_fract_x
_atom_site_fract_y
_atom_site_fract_z
Te1 0.0000 0.0000 0.0000
P1 0.5000 0.5000 0.5000
I1 0.5000 0.5000 0.0000
O1 0.0000 0.5000 0.5000
```

(b)
A PBEsol-optimized structure of TePIO2. Source: Alexandria via LeMat-Bulk, functional SCAN.

Output
Its volume is 103.7 Å³ per cell.

Structure (CIF):
```
data_TePIO2
_chemical_formula_sum 'Te1 P1 I1 O2'
_symmetry_space_group_name_H-M 'P 4/m m m'
_symmetry_Int_Tables_number 123
_symmetry_space_group_name_Hall '-P 4 2'
_cell_length_a 3.9594
_cell_length_b 3.9594
_cell_length_c 6.6179
_cell_angle_alpha 90.00
_cell_angle_beta 90.00
_cell_angle_gamma 90.00
loop_
_atom_site_label
_atom_site_fract_x
_atom_site_fract_y
_atom_site_fract_z
Te1 0.0000 0.0000 0.0000
P1 0.5000 0.5000 0.5000
I1 0.0000 0.0000 0.5000
O1 0.0000 0.5000 0.0000
```

Which one is most stable, and which one is least stable? (b) is the most stable of them, while (a) is the least stable.

(a)
A PBEsol-optimized structure of TlP2IO. Source: Alexandria via LeMat-Bulk, functional SCAN.

Output
Its volume is 110.9 Å³ per cell.

Structure (CIF):
```
data_TlP2IO
_chemical_formula_sum 'Tl1 P2 I1 O1'
_symmetry_space_group_name_H-M 'P 4/m m m'
_symmetry_Int_Tables_number 123
_symmetry_space_group_name_Hall '-P 4 2'
_cell_length_a 4.1234
_cell_length_b 4.1234
_cell_length_c 6.5198
_cell_angle_alpha 90.00
_cell_angle_beta 90.00
_cell_angle_gamma 90.00
loop_
_atom_site_label
_atom_site_fract_x
_atom_site_fract_y
_atom_site_fract_z
Tl1 0.0000 0.0000 0.0000
P1 0.0000 0.5000 0.5000
I1 0.5000 0.5000 0.0000
O1 0.5000 0.5000 0.5000
```

(b)
A PBEsol-optimized structure of TlP2IO. Source: Alexandria via LeMat-Bulk, functional SCAN.

Output
Its volume is 109.7 Å³ per cell.

Structure (CIF):
```
data_TlP2IO
_chemical_formula_sum 'Tl1 P2 I1 O1'
_symmetry_space_group_name_H-M 'P 4/m m m'
_symmetry_Int_Tables_number 123
_symmetry_space_group_name_Hall '-P 4 2'
_cell_length_a 5.1621
_cell_length_b 5.1621
_cell_length_c 4.1180
_cell_angle_alpha 90.00
_cell_angle_beta 90.00
_cell_angle_gamma 90.00
loop_
_atom_site_label
_atom_site_fract_x
_atom_site_fract_y
_atom_site_fract_z
Tl1 0.0000 0.0000 0.0000
P1 0.0000 0.5000 0.0000
I1 0.5000 0.5000 0.5000
O1 0.0000 0.0000 0.5000
```

Which one is most stable, and which one is least stable? (a) is the most stable of them, while (b) is the least stable.

(a)
A PBEsol-optimized structure of P2WIO. Source: Alexandria via LeMat-Bulk, functional SCAN.

Output
Its volume is 93.5 Å³ per cell.

Structure (CIF):
```
data_P2WIO
_chemical_formula_sum 'P2 W1 I1 O1'
_symmetry_space_group_name_H-M 'P 4/m m m'
_symmetry_Int_Tables_number 123
_symmetry_space_group_name_Hall '-P 4 2'
_cell_length_a 4.9796
_cell_length_b 4.9796
_cell_length_c 3.7696
_cell_angle_alpha 90.00
_cell_angle_beta 90.00
_cell_angle_gamma 90.00
loop_
_atom_site_label
_atom_site_fract_x
_atom_site_fract_y
_atom_site_fract_z
P1 0.0000 0.5000 0.0000
W1 0.0000 0.0000 0.5000
I1 0.5000 0.5000 0.0000
O1 0.5000 0.5000 0.5000
```

(b)
A PBEsol-optimized structure of P2WIO. Source: Alexandria via LeMat-Bulk, functional SCAN.

Output
Its volume is 90.2 Å³ per cell.

Structure (CIF):
```
data_P2WIO
_chemical_formula_sum 'P2 W1 I1 O1'
_symmetry_space_group_name_H-M 'P 4/m m m'
_symmetry_Int_Tables_number 123
_symmetry_space_group_name_Hall '-P 4 2'
_cell_length_a 4.8638
_cell_length_b 4.8638
_cell_length_c 3.8112
_cell_angle_alpha 90.00
_cell_angle_beta 90.00
_cell_angle_gamma 90.00
loop_
_atom_site_label
_atom_site_fract_x
_atom_site_fract_y
_atom_site_fract_z
P1 0.0000 0.5000 0.0000
W1 0.0000 0.0000 0.0000
I1 0.5000 0.5000 0.5000
O1 0.0000 0.0000 0.5000
```

Which one is most stable, and which one is least stable? (b) is the most stable of them, while (a) is the least stable.

(a)
A PBEsol-optimized structure of PbI2O6. Source: Alexandria via LeMat-Bulk, functional SCAN.

Output
Its volume is 563.6 Å³ per cell.

Structure (CIF):
```
data_PbI2O6
_chemical_formula_sum 'Pb4 I8 O24'
_symmetry_space_group_name_H-M 'P -1'
_symmetry_Int_Tables_number 2
_cell_length_a 6.8260
_cell_length_b 7.0505
_cell_length_c 13.0546
_cell_angle_alpha 89.58
_cell_angle_beta 89.69
_cell_angle_gamma 63.79
loop_
_symmetry_equiv_pos_as_xyz
'x,y,z'
'-x,-y,-z'
loop_
_atom_site_label
_atom_site_fract_x
_atom_site_fract_y
_atom_site_fract_z
Pb1 0.0253 0.1626 0.1318
Pb2 0.0265 0.6637 0.3680
I1 0.3384 0.1298 0.8864
I2 0.3376 0.6275 0.6132
I3 0.3476 0.5204 0.1157
I4 0.3492 0.0230 0.3846
O1 0.0849 0.5470 0.1673
O2 0.0874 0.0516 0.3321
O3 0.1422 0.5431 0.5575
O4 0.1432 0.0444 0.9430
O5 0.2745 0.0510 0.5218
O6 0.2759 0.5501 0.9783
O7 0.3074 0.5812 0.7486
O8 0.3082 0.0838 0.7515
O9 0.3224 0.7854 0.1453
O10 0.3261 0.2883 0.3551
O11 0.4151 0.1242 0.0898
O12 0.4163 0.6263 0.4105
```

(b)
A PBEsol-optimized structure of PbI2O6. Source: Alexandria via LeMat-Bulk, functional SCAN.

Output
Its volume is 542.6 Å³ per cell.

Structure (CIF):
```
data_PbI2O6
_chemical_formula_sum 'Pb4 I8 O24'
_symmetry_space_group_name_H-M 'P b c n'
_symmetry_Int_Tables_number 60
_cell_length_a 16.7689
_cell_length_b 5.4492
_cell_length_c 5.9381
_cell_angle_alpha 90.00
_cell_angle_beta 90.00
_cell_angle_gamma 90.00
loop_
_symmetry_equiv_pos_as_xyz
'x,y,z'
'-x,-y,-z'
'-x+1/2,-y+1/2,z+1/2'
'x+1/2,y+1/2,-z+1/2'
'x+1/2,-y+1/2,-z'
'-x+1/2,y+1/2,z'
'-x,y,-z+1/2'
'x,-y,z+1/2'
loop_
_atom_site_label
_atom_site_fract_x
_atom_site_fract_y
_atom_site_fract_z
Pb1 0.0000 0.2485 0.2500
I1 0.1642 0.2478 0.6975
O1 0.0699 0.1042 0.6039
O2 0.1145 0.4139 0.9319
O3 0.2102 0.0087 0.3561
```

Which one is most stable, and which one is least stable? (b) is the most stable of them, while (a) is the least stable.